No. 1
VASP calculation (PBE-GGA) on a relaxed Ba3Sr12Ca crystal.

Cell: 6.0866 6.0866 24.0999 Å, 90.00 90.00 90.00°
Closest atoms and distances in Å follow each position.
Element x y z (fractional)
Ba 0.0000 0.0000 0.0000  12 Sr 4.30-4.33
Ba 0.0000 0.0000 0.2554  12 Sr 4.30-4.33
Ba 0.0000 0.0000 0.7446  12 Sr 4.30-4.33
Sr 0.0000 0.5000 0.1276  8 Sr 4.30-4.34, 4 Ba 4.33
Sr 0.0000 0.5000 0.3831  2 Ca 4.15, 8 Sr 4.15-4.32, 2 Ba 4.33
Sr 0.0000 0.5000 0.6169  2 Ca 4.15, 8 Sr 4.15-4.32, 2 Ba 4.33
Sr 0.0000 0.5000 0.8724  8 Sr 4.30-4.34, 4 Ba 4.33
Sr 0.5000 0.0000 0.1276  8 Sr 4.30-4.34, 4 Ba 4.33
Sr 0.5000 0.0000 0.3831  2 Ca 4.15, 8 Sr 4.15-4.32, 2 Ba 4.33
Sr 0.5000 0.0000 0.6169  2 Ca 4.15, 8 Sr 4.15-4.32, 2 Ba 4.33
Sr 0.5000 0.0000 0.8724  8 Sr 4.30-4.34, 4 Ba 4.33
Sr 0.5000 0.5000 0.0000  4 Ba 4.30, 8 Sr 4.33
Sr 0.5000 0.5000 0.2558  4 Ba 4.30, 8 Sr 4.32-4.34
Sr 0.5000 0.5000 0.5000  8 Sr 4.15, 4 Ca 4.30
Sr 0.5000 0.5000 0.7442  4 Ba 4.30, 8 Sr 4.32-4.34
Ca 0.0000 0.0000 0.5000  12 Sr 4.15-4.30

## Properties
Its energy is -1.740 eV per atom. As for the crystal system: tetragonal.

=====

No. 2
VASP calculation (PBE-GGA) on a relaxed BaSr10Ca6 crystal.

Cell: 11.2794 11.2794 7.9959 Å, 90.00 90.00 120.00°
Closest atoms and distances in Å follow each position.
Element x y z (fractional)
Ba 0.0000 0.0000 0.0000  6 Ca 4.18, 6 Sr 4.42
Sr 0.0000 0.3104 0.3370  5 Ca 3.98-4.08, 4 Sr 4.11-4.37, 1 Ba 4.42
Sr 0.0000 0.6896 0.6630  5 Ca 3.98-4.08, 4 Sr 4.11-4.37, 1 Ba 4.42
Sr 0.3104 0.0000 0.3370  5 Ca 3.98-4.08, 4 Sr 4.11-4.37, 1 Ba 4.42
Sr 0.3104 0.3104 0.6630  5 Ca 3.98-4.08, 4 Sr 4.11-4.37, 1 Ba 4.42
Sr 0.3333 0.6667 0.0000  6 Ca 3.86, 2 Sr 4.00
Sr 0.3333 0.6667 0.5000  8 Sr 4.00-4.11
Sr 0.6667 0.3333 0.0000  6 Ca 3.86, 2 Sr 4.00
Sr 0.6667 0.3333 0.5000  8 Sr 4.00-4.11
Sr 0.6896 0.0000 0.6630  5 Ca 3.98-4.08, 4 Sr 4.11-4.37, 1 Ba 4.42
Sr 0.6896 0.6896 0.3370  5 Ca 3.98-4.08, 4 Sr 4.11-4.37, 1 Ba 4.42
Ca 0.0000 0.3538 0.8431  7 Sr 3.86-4.08, 1 Ca 4.14, 1 Ba 4.18
Ca 0.0000 0.6462 0.1569  7 Sr 3.86-4.08, 1 Ca 4.14, 1 Ba 4.18
Ca 0.3538 0.0000 0.8431  7 Sr 3.86-4.08, 1 Ca 4.14, 1 Ba 4.18
Ca 0.3538 0.3538 0.1569  7 Sr 3.86-4.08, 1 Ca 4.14, 1 Ba 4.18
Ca 0.6462 0.0000 0.1569  7 Sr 3.86-4.08, 1 Ca 4.14, 1 Ba 4.18
Ca 0.6462 0.6462 0.8431  7 Sr 3.86-4.08, 1 Ca 4.14, 1 Ba 4.18

## Properties
Its energy is -1.750 eV per atom. As for the crystal system: trigonal.

=====

No. 3
VASP calculation (PBE-GGA) on a relaxed Ba3Sr7Ca crystal.

Cell: 10.2278 10.2278 7.1629 Å, 110.30 110.30 88.61°
Closest atoms and distances in Å follow each position.
Element x y z (fractional)
Ba 0.0000 0.0000 0.0000  8 Sr 4.04-4.38
Ba 0.2292 0.7708 0.5000  9 Sr 3.87-4.25
Ba 0.7708 0.2292 0.5000  9 Sr 3.87-4.25
Sr 0.0681 0.5920 0.8299  4 Ba 4.04-4.25, 4 Sr 4.12-4.35, 1 Ca 4.33
Sr 0.1954 0.1954 0.6913  1 Ca 3.90, 3 Ba 4.12-4.36, 2 Sr 4.12
Sr 0.4080 0.9319 0.1701  4 Ba 4.04-4.25, 4 Sr 4.12-4.35, 1 Ca 4.33
Sr 0.5000 0.5000 0.5000  2 Ca 3.58, 2 Ba 3.87
Sr 0.5920 0.0681 0.8299  4 Ba 4.04-4.25, 4 Sr 4.12-4.35, 1 Ca 4.33
Sr 0.8046 0.8046 0.3087  1 Ca 3.90, 3 Ba 4.12-4.36, 2 Sr 4.12
Sr 0.9319 0.4080 0.1701  4 Ba 4.04-4.25, 4 Sr 4.12-4.35, 1 Ca 4.33
Ca 0.5000 0.5000 0.0000  4 Sr 3.58-3.90

## Properties
Its energy is -1.587 eV per atom. As for the crystal system: monoclinic.

=====

No. 4
VASP calculation (PBE-GGA) on a relaxed Ba9Sr2Ca crystal.

Cell: 6.9463 6.9463 14.8218 Å, 90.00 90.00 90.00°
Closest atoms and distances in Å follow each position.
Element x y z (fractional)
Ba 0.0000 0.0000 0.0000  8 Ba 4.22
Ba 0.0000 0.0000 0.3313  8 Ba 4.28-4.29
Ba 0.0000 0.0000 0.6687  8 Ba 4.28-4.29
Ba 0.0000 0.5000 0.1613  2 Ca 4.22, 4 Ba 4.22-4.29, 2 Sr 4.29
Ba 0.0000 0.5000 0.5000  4 Sr 4.28, 4 Ba 4.28
Ba 0.0000 0.5000 0.8387  2 Ca 4.22, 4 Ba 4.22-4.29, 2 Sr 4.29
Ba 0.5000 0.0000 0.1613  2 Ca 4.22, 4 Ba 4.22-4.29, 2 Sr 4.29
Ba 0.5000 0.0000 0.5000  4 Sr 4.28, 4 Ba 4.28
Ba 0.5000 0.0000 0.8387  2 Ca 4.22, 4 Ba 4.22-4.29, 2 Sr 4.29
Sr 0.5000 0.5000 0.3315  8 Ba 4.28-4.29
Sr 0.5000 0.5000 0.6685  8 Ba 4.28-4.29
Ca 0.5000 0.5000 0.0000  8 Ba 4.22

## Properties
Its energy is -1.881 eV per atom. As for the crystal system: tetragonal.

=====

No. 5
VASP calculation (PBE-GGA) on a relaxed Ba2SrCa10 crystal.

Cell: 12.9890 9.9616 9.8301 Å, 82.03 49.42 48.55°
Closest atoms and distances in Å follow each position.
Element x y z (fractional)
Ba 0.0000 0.5000 0.0000  2 Ba 3.68, 8 Ca 3.83-4.07
Ba 0.5000 0.0000 0.5000  2 Ba 3.68, 8 Ca 3.83-4.07
Sr 0.0000 0.0000 0.0000  16 Ca 4.61-4.92, 4 Ba 4.98
Ca 0.0000 0.0000 0.5000  10 Ca 3.68-3.91
Ca 0.0094 0.6417 0.3583  4 Ca 3.69-3.99, 2 Ba 4.07
Ca 0.2869 0.5049 0.4951  7 Ca 3.70-4.14, 2 Ba 3.83
Ca 0.3583 0.9906 0.0094  4 Ca 3.69-3.99, 2 Ba 4.07
Ca 0.4951 0.7131 0.2869  7 Ca 3.70-4.14, 2 Ba 3.83
Ca 0.5000 0.5000 0.0000  10 Ca 3.68-3.91
Ca 0.5049 0.2869 0.7131  7 Ca 3.70-4.14, 2 Ba 3.83
Ca 0.6417 0.0094 0.9906  4 Ca 3.69-3.99, 2 Ba 4.07
Ca 0.7131 0.4951 0.5049  7 Ca 3.70-4.14, 2 Ba 3.83
Ca 0.9906 0.3583 0.6417  4 Ca 3.69-3.99, 2 Ba 4.07

## Properties
Its energy is -1.847 eV per atom. As for the crystal system: orthorhombic.

=====

No. 6
VASP calculation (PBE-GGA) on a relaxed BaSr2Ca5 crystal.

Cell: 9.0539 18.0480 9.2005 Å, 90.00 90.00 90.00°
Closest atoms and distances in Å follow each position.
Element x y z (fractional)
Ba 0.2418 0.1280 0.0000  7 Ca 3.91-4.37, 2 Sr 4.03
Ba 0.2582 0.6280 0.0000  7 Ca 3.91-4.37, 2 Sr 4.03
Ba 0.7418 0.3720 0.0000  7 Ca 3.91-4.37, 2 Sr 4.03
Ba 0.7582 0.8720 0.0000  7 Ca 3.91-4.37, 2 Sr 4.03
Sr 0.0000 0.5000 0.2540  2 Sr 4.01, 6 Ca 4.01-4.45, 2 Ba 4.03
Sr 0.0000 0.5000 0.7460  2 Sr 4.01, 6 Ca 4.01-4.45, 2 Ba 4.03
Sr 0.2404 0.1291 0.5000  6 Ca 3.86-3.91, 2 Sr 4.01
Sr 0.2596 0.6291 0.5000  6 Ca 3.86-3.91, 2 Sr 4.01
Sr 0.5000 0.0000 0.2540  2 Sr 4.01, 6 Ca 4.01-4.45, 2 Ba 4.03
Sr 0.5000 0.0000 0.7460  2 Sr 4.01, 6 Ca 4.01-4.45, 2 Ba 4.03
Sr 0.7404 0.3709 0.5000  6 Ca 3.86-3.91, 2 Sr 4.01
Sr 0.7596 0.8709 0.5000  6 Ca 3.86-3.91, 2 Sr 4.01
Ca 0.0000 0.0000 0.2546  4 Ca 3.90-3.95, 2 Sr 3.91, 2 Ba 3.95
Ca 0.0000 0.0000 0.7454  4 Ca 3.90-3.95, 2 Sr 3.91, 2 Ba 3.95
Ca 0.0004 0.2535 0.2530  2 Sr 3.86-3.90, 4 Ca 3.86-3.93, 2 Ba 3.91-3.93
Ca 0.0004 0.2535 0.7470  2 Sr 3.86-3.90, 4 Ca 3.86-3.93, 2 Ba 3.91-3.93
Ca 0.9996 0.7465 0.2530  2 Sr 3.86-3.90, 4 Ca 3.86-3.93, 2 Ba 3.91-3.93
Ca 0.9996 0.7465 0.7470  2 Sr 3.86-3.90, 4 Ca 3.86-3.93, 2 Ba 3.91-3.93
Ca 0.2398 0.8709 0.5000  6 Ca 3.86-3.90, 2 Sr 4.01
Ca 0.2412 0.8716 0.0000  6 Ca 3.91-3.95, 2 Sr 4.04, 1 Ba 4.37
Ca 0.2588 0.3716 0.0000  6 Ca 3.91-3.95, 2 Sr 4.04, 1 Ba 4.37
Ca 0.2602 0.3709 0.5000  6 Ca 3.86-3.90, 2 Sr 4.01
Ca 0.5004 0.2465 0.2530  2 Sr 3.86-3.90, 4 Ca 3.86-3.93, 2 Ba 3.91-3.93
Ca 0.5004 0.2465 0.7470  2 Sr 3.86-3.90, 4 Ca 3.86-3.93, 2 Ba 3.91-3.93
Ca 0.5000 0.5000 0.2546  4 Ca 3.90-3.95, 2 Sr 3.91, 2 Ba 3.95
Ca 0.5000 0.5000 0.7454  4 Ca 3.90-3.95, 2 Sr 3.91, 2 Ba 3.95
Ca 0.4996 0.7535 0.2530  2 Sr 3.86-3.90, 4 Ca 3.86-3.93, 2 Ba 3.91-3.93
Ca 0.4996 0.7535 0.7470  2 Sr 3.86-3.90, 4 Ca 3.86-3.93, 2 Ba 3.91-3.93
Ca 0.7398 0.6291 0.5000  6 Ca 3.86-3.90, 2 Sr 4.01
Ca 0.7412 0.6284 0.0000  6 Ca 3.91-3.95, 2 Sr 4.04, 1 Ba 4.37
Ca 0.7588 0.1284 0.0000  6 Ca 3.91-3.95, 2 Sr 4.04, 1 Ba 4.37
Ca 0.7602 0.1291 0.5000  6 Ca 3.86-3.90, 2 Sr 4.01

## Properties
Its energy is -1.880 eV per atom. As for the crystal system: orthorhombic.